The following is a DFT calculation (GGA-PBE) of Ba2SiSb after structural relaxation.

Cell lengths 3.863, 5.834, 6.948 Å; angles 90.00, 90.00, 90.00 degrees
Fractional coordinates of all 4 atoms:
Ba: 0.000 0.000 0.875
Ba: 0.500 0.500 0.375
Si: 0.500 0.500 0.875
Sb: 0.000 0.000 0.375

Calculated values
The energy relative to the lowest polymorph listed for this composition comes out at 322 meV per atom. The value obtained for the uncorrected formation energy is -25 kJ per mole of atoms. For the spin magnetization, the calculation gives 0.000 μB/cell.